Compound: NaCu2H8Rh3
Source: Alexandria via LeMat-Bulk
Functional: GGA-PBE
Structure: relaxed

As for the total DFT energy (no corrections): -4.2182 eV per atom.

It has space group R3m (No. 160, hexagonal axes), with a = 5.6528 Å, b = 5.6528 Å, c = 13.3032 Å, α = 90.00°, β = 90.00° and γ = 120.00°. The inequivalent atoms are Na at (0.0000, 0.0000, 0.0000), Cu at (0.0000, 0.0000, 0.3814), Cu at (0.0000, 0.0000, 0.7554), H at (0.0000, 0.0000, 0.1539), H at (0.0000, 0.0000, 0.6227), H at (0.0164, 0.5082, 0.1445), H at (0.2001, 0.4001, 0.9485) and Rh at (0.1682, 0.3365, 0.2130).